# 1
Here is an optimized crystal structure of TbBi from the Open Quantum Materials Database. Energies are from PBE.

The space group is Fm-3m (No. 225) and the conventional cell measures 6.324, 6.324 and 6.324 Å, with angles of 90.00, 90.00 and 90.00 degrees. Symmetry generates all atoms from Tb at (0.000, 0.000, 0.000) and Bi at (0.000, 0.000, 0.500).

The uncorrected energy comes out at -41.876 eV/cell.

---

# 2
Here is an optimized crystal structure of Tb5Bi3 from the Open Quantum Materials Database. Energies are from PBE.

The space group is Pnma (No. 62) and the conventional cell measures 12.069, 9.533 and 8.283 Å, with angles of 90.00, 90.00 and 90.00 degrees. Symmetry generates all atoms from Tb at (0.004, 0.250, 0.021), Tb at (0.065, 0.060, 0.690), Tb at (0.210, 0.750, 0.341), Tb at (0.228, 0.250, 0.328), Bi at (0.027, 0.750, 0.599) and Bi at (0.175, 0.508, 0.064).

Its energy above the most stable polymorph in this dataset is 6 meV/atom.

---

# 3
Here is an optimized crystal structure of TbBi2 from the Open Quantum Materials Database. Energies are from PBE.

The space group is Pnnm (No. 58) and the conventional cell measures 6.995, 8.220 and 3.589 Å, with angles of 90.00, 90.00 and 90.00 degrees. Symmetry generates all atoms from Tb at (0.000, 0.000, 0.000) and Bi at (0.149, 0.365, 0.000).

The uncorrected energy comes out at -27.018 eV/cell.